1.
Here is a relaxed structure of NdScTiIr2 from the Alexandria database. Energies are from PBE.

Cell: 4.2801 4.2801 6.4445 Å, 109.39 109.39 90.00°
With the nearest neighbours (Å) after each atom.
Positions (direct):
1 Nd 0.0000 0.0000 0.0000  8 Ir 3.30, 4 Sc 3.56, 4 Ti 3.56
2 Sc 0.2500 0.7500 0.5000  4 Ir 2.63
3 Ti 0.7500 0.2500 0.5000  4 Ir 2.63
4 Ir 0.6164 0.6164 0.2328  2 Ti 2.63, 2 Sc 2.63, 1 Ir 2.65
5 Ir 0.3836 0.3836 0.7672  2 Ti 2.63, 2 Sc 2.63, 1 Ir 2.65

Summary:
- space-group type = No. 119
- crystal system = tetragonal
- energy of formation (kJ/mol of formula units) = -367
- ρ (g cm⁻³) = 9.902
- calculated total energy (eV per atom) = -8.103


2.
Here is a relaxed structure of Hf2ZrH from the Alexandria database. Energies are from PBE.

Cell: 4.7333 4.7333 4.7333 Å, 60.00 60.00 60.00°
With the nearest neighbours (Å) after each atom.
Positions (direct):
1 H 0.0000 0.0000 0.0000  8 Hf 2.90
2 Hf 0.2500 0.2500 0.2500  4 Zr 2.90, 4 H 2.90
3 Hf 0.7500 0.7500 0.7500  4 Zr 2.90, 4 H 2.90
4 Zr 0.5000 0.5000 0.5000  8 Hf 2.90

Summary:
- relative energy among the computed polymorphs (eV per atom) = 1.007
- space-group type = No. 225
- crystal system = cubic
- ρ (g cm⁻³) = 9.948
- calculated total energy (eV per atom) = -7.065


3.
Here is a relaxed structure of VCdSe2N from the Alexandria database. Energies are from PBE.

Cell: 5.2096 5.2096 3.9953 Å, 90.00 90.00 90.00°
With the nearest neighbours (Å) after each atom.
Positions (direct):
1 N 0.0000 0.0000 0.5000  2 Cd 2.00
2 V 0.5000 0.5000 0.5000  8 Se 3.28
3 Se 0.0000 0.5000 0.0000  2 Cd 2.60
4 Se 0.5000 0.0000 0.0000  2 Cd 2.60
5 Cd 0.0000 0.0000 0.0000  2 N 2.00

Summary:
- relative energy among the computed polymorphs (eV per atom) = 1.559
- formation energy (no corrections) (eV/f.u.) = 7.43
- space-group type = No. 123
- crystal system = tetragonal
- ρ (g cm⁻³) = 5.134
- calculated total energy (eV per atom) = -3.580


4.
Here is a relaxed structure of SrLa4N5 from the Alexandria database. Energies are from PBE.

Cell: 3.7882 5.1871 10.0033 Å, 105.03 100.91 90.00°
With the nearest neighbours (Å) after each atom.
Positions (direct):
1 Sr 0.0000 0.0000 0.0000  6 N 2.59-2.86
2 La 0.4018 0.4018 0.8036  6 N 2.61-2.65
3 La 0.8011 0.8011 0.6023  6 N 2.50-2.79
4 La 0.1989 0.1989 0.3977  6 N 2.50-2.79
5 La 0.5982 0.5982 0.1964  6 N 2.61-2.65
6 N 0.6129 0.1129 0.2258  4 La 2.50-2.61
7 N 0.8071 0.3071 0.6142  6 La 2.60-2.79
8 N 0.1929 0.6929 0.3858  6 La 2.60-2.79
9 N 0.0000 0.5000 0.0000  2 Sr 2.59, 4 La 2.65
10 N 0.3871 0.8871 0.7742  4 La 2.50-2.61

Summary:
- formation energy (no corrections) (eV/f.u.) = -11.17
- space-group type = No. 71
- crystal system = orthorhombic
- ρ (g cm⁻³) = 6.362
- calculated total energy (eV per atom) = -7.419